Entry 1:
Material: ErTmGaAu
Method: DFT, PBE
State: optimized geometry

Summary:
density = 10.817 g cm⁻³
M_tot = 0.000 μB/f.u.
density of states at the Fermi level = 0.7773 states/eV per atom
crystal system = orthorhombic
volume = 23.14 A^3/atom
calculated total energy = -36.573 eV for the cell shown
E above lowest polymorph = 0 meV/atom

a = 4.492 Å, b = 3.732 Å, c = 11.041 Å
α = 90.00°, β = 90.00°, γ = 90.00°
Space group Amm2 (No. 38)
One atom of each set of equivalent atoms:
Er  0.000  0.000  0.000 x2
Tm  0.500  0.000  0.710 x2
Ga  0.500  0.000  0.436 x2
Au  0.000  0.000  0.274 x2


Entry 2:
Material: PuPaN
Method: DFT, PBE
State: optimized geometry

Summary:
density = 13.674 g cm⁻³
M_tot = 5.106 μB/f.u.
density of states at the Fermi level = 1.9486 states/eV per atom
crystal system = tetragonal
ΔE_f (raw) = -466 meV per atom
volume = 19.80 A^3/atom
calculated total energy = -67.105 eV for the cell shown
E above lowest polymorph = 296 meV/atom

a = 3.223 Å, b = 3.223 Å, c = 11.435 Å
α = 90.00°, β = 90.00°, γ = 90.00°
Space group I4mm (No. 107)
One atom of each set of equivalent atoms:
Pu  0.000  0.000  0.000 x2
Pa  0.000  0.000  0.759 x2
N  0.000  0.000  0.576 x2


Entry 3:
Material: CsThO2F
Method: DFT, PBE
State: optimized geometry

Summary:
density = 6.763 g cm⁻³
M_tot = 0.000 μB/f.u.
density of states at the Fermi level = 0.0000 states/eV per atom
crystal system = tetragonal
ΔE_f (raw) = -3199 meV per atom
volume = 20.43 A^3/atom
calculated total energy = -36.056 eV for the cell shown

a = 4.547 Å, b = 4.547 Å, c = 4.941 Å
α = 90.00°, β = 90.00°, γ = 90.00°
Space group P4/mmm (No. 123)
One atom of each set of equivalent atoms:
Cs  0.000  0.000  0.000 x1
Th  0.500  0.500  0.500 x1
O  0.000  0.500  0.500 x2
F  0.500  0.500  0.000 x1


Entry 4:
Material: Y3NpAs4
Method: DFT, PBE
State: optimized geometry

Summary:
density = 6.756 g cm⁻³
M_tot = 3.776 μB/f.u.
density of states at the Fermi level = 1.4570 states/eV per atom
crystal system = orthorhombic
volume = 24.68 A^3/atom
calculated total energy = -123.149 eV for the cell shown

a = 8.251 Å, b = 11.636 Å, c = 4.114 Å
α = 90.00°, β = 90.00°, γ = 90.00°
Space group Cmmm (No. 65)
One atom of each set of equivalent atoms:
Y  0.000  0.000  0.000 x2
Y  0.250  0.250  0.500 x4
Np  0.000  0.500  0.000 x2
As  0.000  0.252  0.000 x4
As  0.248  0.500  0.500 x4


Entry 5:
Material: YRuC2
Method: DFT, PBE
State: optimized geometry

Summary:
density = 7.201 g cm⁻³
M_tot = 0.000 μB/f.u.
density of states at the Fermi level = 0.3366 states/eV per atom
crystal system = trigonal
volume = 12.34 A^3/atom
calculated total energy = -99.727 eV for the cell shown

a = 3.2970 Å, b = 3.2970 Å, c = 15.7259 Å
α = 90.00°, β = 90.00°, γ = 120.00°
Space group R-3m (No. 166, hexagonal axes)
One atom of each set of equivalent atoms:
Y  0.0000  0.0000  0.0000 x3
Ru  0.0000  0.0000  0.5000 x3
C  0.0000  0.0000  0.2342 x6


Entry 6:
Material: LiMnIr
Method: DFT, PBE
State: optimized geometry

Summary:
density = 9.565 g cm⁻³
M_tot = 4.173 μB/f.u.
density of states at the Fermi level = 0.9488 states/eV per atom
crystal system = orthorhombic
volume = 14.70 A^3/atom
calculated total energy = -78.307 eV for the cell shown
E above lowest polymorph = 193 meV/atom

a = 2.906 Å, b = 4.581 Å, c = 13.257 Å
α = 90.00°, β = 90.00°, γ = 90.00°
Space group Fmm2 (No. 42)
One atom of each set of equivalent atoms:
Li  0.000  0.000  0.000 x4
Mn  0.000  0.000  0.680 x4
Ir  0.000  0.000  0.336 x4